1.
11
Lattice="9.594 -2.720 0.000 9.594 2.720 0.000 -0.506 0.000 6.345" Properties=species:S:1:pos:R:3 comment="Pr2Tm8Al (PBE, optimized geometry)" crystal_system=monoclinic space_group=C2/m mass_density_kg_m3=8327 ef_ev_per_atom=-0.03 pbc="T T T"
Pr 4.507 0.000 2.092
Pr 14.176 0.000 4.252
Tm 0.678 0.000 1.632
Tm 2.478 0.000 5.166
Tm 6.169 0.000 5.560
Tm 7.924 0.000 2.511
Tm 10.759 0.000 3.833
Tm 12.514 0.000 0.785
Tm 16.205 0.000 1.179
Tm 18.005 0.000 4.712
Al 9.594 0.000 0.000

2.
4
Lattice="4.114 -1.248 0.000 4.114 1.248 0.000 -0.608 0.000 4.575" Properties=species:S:1:pos:R:3 comment="ZnCrNi2 (PBE, optimized geometry)" crystal_system=monoclinic space_group=C2/m mass_density_kg_m3=8302 ef_ev_per_atom=0.05 pbc="T T T"
Zn 0.000 0.000 0.000
Cr 3.810 0.000 2.287
Ni 1.605 0.000 3.370
Ni 6.015 0.000 1.205

3.
9
Lattice="3.656 0.000 0.000 -1.828 3.167 0.000 0.000 0.000 27.305" Properties=species:S:1:pos:R:3 comment="Tb3Pr4Nd2 (PBE, optimized geometry)" crystal_system=trigonal space_group=P3m1 mass_density_kg_m3=6980 ef_ev_per_atom=0.06 pbc="T T T"
Tb 0.000 0.000 0.000
Tb 0.000 0.000 9.301
Tb 1.828 1.056 18.329
Pr 0.000 0.000 15.387
Pr 0.000 0.000 21.282
Pr 1.828 1.056 6.432
Pr 1.828 1.056 12.273
Nd 1.828 1.056 2.845
Nd 1.828 1.056 24.356

4.
9
Lattice="-2.130 4.595 6.299 2.130 -4.595 6.299 2.130 4.595 -6.299" Properties=species:S:1:pos:R:3 comment="BaPr2Ge6 (PBE, optimized geometry)" crystal_system=orthorhombic space_group=Immm mass_density_kg_m3=5757 ef_ev_per_atom=-0.48 pbc="T T T"
Ba 0.000 0.000 0.000
Pr 2.130 0.000 4.420
Pr 0.000 4.595 1.879
Ge 2.130 2.162 -2.331
Ge 2.130 3.154 0.000
Ge 2.130 2.162 2.331
Ge 0.000 2.433 3.968
Ge 0.000 1.441 6.299
Ge 0.000 2.433 8.630

5.
24
Lattice="11.848 0.000 0.000 0.000 4.353 0.000 0.000 0.000 11.737" Properties=species:S:1:pos:R:3 comment="Nd3Si2Pd (PBE, optimized geometry)" crystal_system=orthorhombic space_group=Pnma formation_energy_uncorrected_ev_per_atom=-0.74 mass_density_kg_m3=6532 pbc="T T T"
Nd 0.665 1.088 1.470
Nd 1.439 3.265 6.580
Nd 2.482 1.088 9.478
Nd 3.442 3.265 3.609
Nd 4.485 1.088 0.712
Nd 5.259 3.265 7.339
Nd 6.589 1.088 4.398
Nd 7.363 3.265 11.025
Nd 8.405 1.088 8.128
Nd 9.366 3.265 2.259
Nd 10.409 1.088 5.156
Nd 11.183 3.265 10.266
Si 0.259 3.265 3.678
Si 2.262 3.265 11.696
Si 3.662 1.088 5.828
Si 5.665 1.088 9.547
Si 6.183 3.265 2.190
Si 8.185 3.265 5.909
Si 9.586 1.088 0.041
Si 11.589 1.088 8.058
Pd 1.525 1.088 4.342
Pd 4.398 3.265 10.211
Pd 7.449 1.088 1.526
Pd 10.322 3.265 7.394

6.
13
Lattice="2.429 1.402 8.804 -2.429 1.402 8.804 0.000 -2.805 8.804" Properties=species:S:1:pos:R:3 comment="Zn7Tc6 (PBE, optimized geometry)" crystal_system=trigonal space_group=R-3m mass_density_kg_m3=9651 ef_ev_per_atom=0.08 pbc="T T T"
Zn 0.000 0.000 0.000
Zn 0.000 -1.386 6.768
Zn -1.200 0.693 6.768
Zn -1.200 -0.693 19.642
Zn 1.200 0.693 6.768
Zn 1.200 -0.693 19.642
Zn 0.000 1.386 19.642
Tc 0.000 0.000 4.413
Tc 0.000 0.000 9.354
Tc 0.000 0.000 12.010
Tc 0.000 0.000 14.401
Tc 0.000 0.000 17.057
Tc 0.000 0.000 21.997

7.
6
Lattice="4.388 0.000 0.000 -2.194 3.800 0.000 0.000 0.000 7.400" Properties=species:S:1:pos:R:3 comment="PmSmGe2Rh2 (PBE, optimized geometry)" crystal_system=trigonal space_group=P-3m1 mass_density_kg_m3=8700 ef_ev_per_atom=-0.86 pbc="T T T"
Pm 0.000 0.000 0.000
Sm 0.000 0.000 3.700
Ge 0.000 2.533 5.531
Ge 2.194 1.267 1.869
Rh 0.000 2.533 1.881
Rh 2.194 1.267 5.519

8.
14
Lattice="5.990 -3.492 0.000 5.990 3.492 0.000 -4.927 0.000 11.903" Properties=species:S:1:pos:R:3 comment="La5SmDy (PBE, optimized geometry)" crystal_system=monoclinic space_group=C2/c mass_density_kg_m3=6717 ef_ev_per_atom=0.13 pbc="T T T"
La 2.295 3.188 8.928
La -0.408 0.830 8.790
La 2.624 1.573 5.988
La 1.965 1.573 11.867
La 2.056 -0.830 2.839
La 4.998 0.830 9.065
La 5.088 -1.573 0.036
La 4.429 -1.573 5.916
La 7.461 -0.830 3.113
La 4.759 -3.188 2.976
Sm 4.759 0.698 2.976
Sm 2.295 -0.698 8.928
Dy 2.995 1.746 0.000
Dy 0.532 -1.746 5.952

9.
4
Lattice="5.034 -1.343 0.000 5.034 1.343 0.000 -1.815 0.000 4.469" Properties=species:S:1:pos:R:3 comment="Zn2TcAg (PBE, optimized geometry)" crystal_system=monoclinic space_group=Cm mass_density_kg_m3=9254 ef_ev_per_atom=0.12 pbc="T T T"
Zn 0.000 0.000 0.000
Zn 6.734 0.000 1.826
Tc 0.874 0.000 4.099
Ag 4.059 0.000 2.234

10.
10
Lattice="9.215 -2.067 0.000 9.215 2.067 0.000 -1.677 0.000 8.497" Properties=species:S:1:pos:R:3 comment="Th5ZrSb4 (PBE, optimized geometry)" crystal_system=monoclinic space_group=C2/m formation_energy_uncorrected_ev_per_atom=-0.43 mass_density_kg_m3=8918 pbc="T T T"
Th 0.000 0.000 0.000
Th 5.631 0.000 1.208
Th 4.937 0.000 6.023
Th 11.816 0.000 2.474
Th 11.122 0.000 7.289
Zr -0.838 0.000 4.249
Sb 2.025 0.000 4.819
Sb 8.654 0.000 2.250
Sb 8.099 0.000 6.247
Sb 14.728 0.000 3.678

11.
10
Lattice="0.000 4.101 4.101 4.101 0.000 4.101 4.101 4.101 0.000" Properties=species:S:1:pos:R:3 comment="Ti6Al2HN (PBE, optimized geometry)" crystal_system=cubic space_group=Fm-3m mass_density_kg_m3=4287 pbc="T T T"
Ti 4.101 4.101 2.006
Ti 4.101 2.006 4.101
Ti 6.196 4.101 4.101
Ti 2.006 4.101 4.101
Ti 4.101 6.196 4.101
Ti 4.101 4.101 6.196
Al 2.051 2.051 2.051
Al 6.152 6.152 6.152
H 0.000 0.000 0.000
N 4.101 4.101 4.101

12.
10
Lattice="9.914 -2.173 0.000 9.914 2.173 0.000 -1.526 0.000 9.081" Properties=species:S:1:pos:R:3 comment="Rb5US4 (PBE, optimized geometry)" crystal_system=monoclinic space_group=C2/m formation_energy_uncorrected_ev_per_atom=-1.06 mass_density_kg_m3=3368 pbc="T T T"
Rb 0.000 0.000 0.000
Rb 5.467 0.000 5.986
Rb 6.510 0.000 1.675
Rb 11.792 0.000 7.407
Rb 12.835 0.000 3.095
U -0.763 0.000 4.541
S 1.817 0.000 5.110
S 8.742 0.000 6.326
S 9.561 0.000 2.756
S 16.485 0.000 3.972

no.,VASP energy (eV/atom),DOS(E_F) (states/eV/f.u.)
1,-4.491,14.10
2,-5.566,4.27
3,-4.670,17.12
4,-4.832,3.84
5,-5.798,4.55
6,-5.388,6.69
7,-6.427,5.10
8,-4.718,10.52
9,-3.822,1.50
10,-6.642,8.83
11,-7.337,4.51
12,-4.320,4.09